No. 1
A plane-wave DFT calculation with PBE was carried out for a relaxed structure of KFeCu.

Results
Formation energy (eV per atom): 1.25
Energy above the lowest structure with this stoichiometry (meV per atom): 565

Unit cell a=4.767 b=4.767 c=4.767 alpha=60.00 beta=60.00 gamma=60.00
Site moments in Bohr magnetons follow the coordinates.
Fractional coordinates of all 3 atoms:
Cu 0.250 0.250 0.250  0.08
K 0.500 0.500 0.500  -0.01
Fe 0.000 0.000 0.000  3.17

=====

No. 2
A plane-wave DFT calculation with PBE was carried out for a relaxed structure of CaHgW2.

Results
Formation energy (eV per atom): 0.76

Unit cell a=3.193 b=4.701 c=5.163 alpha=90.00 beta=90.00 gamma=90.00
Fractional coordinates of all 4 atoms:
Hg 0.000 0.500 0.500
Ca 0.500 0.000 0.500
W 0.500 0.500 0.000
W 0.000 0.000 0.000

=====

No. 3
A plane-wave DFT calculation with PBE was carried out for a relaxed structure of ZnI2N2.

Results
Formation energy from raw total energies (eV per atom): -0.28
Energy above the lowest structure with this stoichiometry (meV per atom): 0

Unit cell a=4.092 b=4.101 c=11.677 alpha=87.81 beta=90.00 gamma=119.92
Fractional coordinates of all 5 atoms:
N 0.054 0.107 0.533
N 0.946 0.893 0.467
I 0.656 0.312 0.140
I 0.344 0.688 0.860
Zn 0.000 0.000 0.000

=====

| no. | VASP energy (eV per atom) | size of the total moment (μB per cell) |
| --- | --- | --- |
| 1 | -3.3068 | 3.33 |
| 2 | -6.2928 | 0.00 |
| 3 | -4.4809 | 0.00 |